1.
## Hf2SbBr (PBE)

Data for Hf2SbBr after structural relaxation.

Computed properties:
Total magnetic moment = 0.000 μB per cell
Total DFT energy (no corrections) = -6.73 eV per atom
ΔE to the lowest computed polymorph = 0.0 kJ per mole of atoms
Energy relative to the elements, uncorrected = -29 kJ per mole of atoms

The structure in CIF format:
```
data_Hf2SbBr
_symmetry_space_group_name_H-M 'F m -3 m'
_symmetry_Int_Tables_number 225
_symmetry_space_group_name_Hall '-F 4 2 3'
_cell_length_a 6.966
_cell_length_b 6.966
_cell_length_c 6.966
_cell_angle_alpha 90.00
_cell_angle_beta 90.00
_cell_angle_gamma 90.00
loop_
_atom_site_label
_atom_site_type_symbol
_atom_site_fract_x
_atom_site_fract_y
_atom_site_fract_z
Hf1 Hf 0.250 0.250 0.250
Sb1 Sb 0.000 0.000 0.000
Br1 Br 0.000 0.000 0.500
```

2.
## HfSbSe2Br (PBE)

Data for HfSbSe2Br after structural relaxation.

Computed properties:
Total magnetic moment = 0.000 μB per cell
Total DFT energy (no corrections) = -4.87 eV per atom
ΔE to the lowest computed polymorph = 0.0 kJ per mole of atoms
Energy relative to the elements, uncorrected = -31 kJ per mole of atoms

The structure in CIF format:
```
data_HfSbSe2Br
_symmetry_space_group_name_H-M 'P 4/m m m'
_symmetry_Int_Tables_number 123
_symmetry_space_group_name_Hall '-P 4 2'
_cell_length_a 5.212
_cell_length_b 5.212
_cell_length_c 5.151
_cell_angle_alpha 90.00
_cell_angle_beta 90.00
_cell_angle_gamma 90.00
loop_
_atom_site_label
_atom_site_type_symbol
_atom_site_fract_x
_atom_site_fract_y
_atom_site_fract_z
Hf1 Hf 0.000 0.000 0.000
Sb1 Sb 0.500 0.500 0.500
Se1 Se 0.000 0.500 0.000
Br1 Br 0.000 0.000 0.500
```

3.
## HfSbSe2Br (PBE)

Data for HfSbSe2Br after structural relaxation.

Computed properties:
Total magnetic moment = 1.590 μB per cell
Total DFT energy (no corrections) = -3.93 eV per atom
ΔE to the lowest computed polymorph = 90.5 kJ per mole of atoms
Energy relative to the elements, uncorrected = 59 kJ per mole of atoms

The structure in CIF format:
```
data_HfSbSe2Br
_symmetry_space_group_name_H-M 'P 4/m m m'
_symmetry_Int_Tables_number 123
_symmetry_space_group_name_Hall '-P 4 2'
_cell_length_a 5.364
_cell_length_b 5.364
_cell_length_c 5.301
_cell_angle_alpha 90.00
_cell_angle_beta 90.00
_cell_angle_gamma 90.00
loop_
_atom_site_label
_atom_site_type_symbol
_atom_site_fract_x
_atom_site_fract_y
_atom_site_fract_z
Hf1 Hf 0.000 0.000 0.000
Sb1 Sb 0.500 0.500 0.500
Se1 Se 0.000 0.500 0.500
Br1 Br 0.500 0.500 0.000
```

4.
## Hf2VSbBr (PBE)

Data for Hf2VSbBr after structural relaxation.

Computed properties:
Total magnetic moment = 1.747 μB per cell
Total DFT energy (no corrections) = -5.82 eV per atom
Energy relative to the elements, uncorrected = 111 kJ per mole of atoms

The structure in CIF format:
```
data_Hf2VSbBr
_symmetry_space_group_name_H-M 'P 4/m m m'
_symmetry_Int_Tables_number 123
_symmetry_space_group_name_Hall '-P 4 2'
_cell_length_a 5.392
_cell_length_b 5.392
_cell_length_c 4.995
_cell_angle_alpha 90.00
_cell_angle_beta 90.00
_cell_angle_gamma 90.00
loop_
_atom_site_label
_atom_site_type_symbol
_atom_site_fract_x
_atom_site_fract_y
_atom_site_fract_z
Hf1 Hf 0.000 0.500 0.000
V1 V 0.000 0.000 0.500
Sb1 Sb 0.000 0.000 0.000
Br1 Br 0.500 0.500 0.500
```

5.
## HfScBr3 (PBE)

Data for HfScBr3 after structural relaxation.

Computed properties:
Total magnetic moment = 2.471 μB per cell
Total DFT energy (no corrections) = -4.43 eV per atom
ΔE to the lowest computed polymorph = 0.0 kJ per mole of atoms
Energy relative to the elements, uncorrected = -16 kJ per mole of atoms

The structure in CIF format:
```
data_HfScBr3
_symmetry_space_group_name_H-M 'P m -3 m'
_symmetry_Int_Tables_number 221
_symmetry_space_group_name_Hall '-P 4 2 3'
_cell_length_a 5.232
_cell_length_b 5.232
_cell_length_c 5.232
_cell_angle_alpha 90.00
_cell_angle_beta 90.00
_cell_angle_gamma 90.00
loop_
_atom_site_label
_atom_site_type_symbol
_atom_site_fract_x
_atom_site_fract_y
_atom_site_fract_z
Hf1 Hf 0.000 0.000 0.000
Sc1 Sc 0.500 0.500 0.500
Br1 Br 0.000 0.000 0.500
```

6.
## Hf3ScBr (PBE)

Data for Hf3ScBr after structural relaxation.

Computed properties:
Total magnetic moment = 1.293 μB per cell
Total DFT energy (no corrections) = -6.25 eV per atom
ΔE to the lowest computed polymorph = 87.8 kJ per mole of atoms
Energy relative to the elements, uncorrected = 128 kJ per mole of atoms

The structure in CIF format:
```
data_Hf3ScBr
_symmetry_space_group_name_H-M 'P m -3 m'
_symmetry_Int_Tables_number 221
_symmetry_space_group_name_Hall '-P 4 2 3'
_cell_length_a 5.140
_cell_length_b 5.140
_cell_length_c 5.140
_cell_angle_alpha 90.00
_cell_angle_beta 90.00
_cell_angle_gamma 90.00
loop_
_atom_site_label
_atom_site_type_symbol
_atom_site_fract_x
_atom_site_fract_y
_atom_site_fract_z
Hf1 Hf 0.000 0.000 0.500
Sc1 Sc 0.000 0.000 0.000
Br1 Br 0.500 0.500 0.500
```

7.
## HfScBr2 (PBE)

Data for HfScBr2 after structural relaxation.

Computed properties:
Total magnetic moment = 0.000 μB per cell
Total DFT energy (no corrections) = -5.47 eV per atom
ΔE to the lowest computed polymorph = 0.0 kJ per mole of atoms
Energy relative to the elements, uncorrected = -54 kJ per mole of atoms

The structure in CIF format:
```
data_HfScBr2
_symmetry_space_group_name_H-M 'R -3 m'
_symmetry_Int_Tables_number 166
_symmetry_space_group_name_Hall '-R 3 2"'
_cell_length_a 3.3851
_cell_length_b 3.3851
_cell_length_c 28.0974
_cell_angle_alpha 90.00
_cell_angle_beta 90.00
_cell_angle_gamma 120.00
loop_
_atom_site_label
_atom_site_type_symbol
_atom_site_fract_x
_atom_site_fract_y
_atom_site_fract_z
Hf1 Hf 0.0000 0.0000 0.0000
Sc1 Sc 0.0000 0.0000 0.5000
Br1 Br 0.0000 0.0000 0.0980
```

8.
## Hf3ScBr (PBE)

Data for Hf3ScBr after structural relaxation.

Computed properties:
Total magnetic moment = 0.000 μB per cell
Total DFT energy (no corrections) = -7.16 eV per atom
ΔE to the lowest computed polymorph = 0.0 kJ per mole of atoms
Energy relative to the elements, uncorrected = 40 kJ per mole of atoms

The structure in CIF format:
```
data_Hf3ScBr
_symmetry_space_group_name_H-M 'P m -3 m'
_symmetry_Int_Tables_number 221
_symmetry_space_group_name_Hall '-P 4 2 3'
_cell_length_a 4.947
_cell_length_b 4.947
_cell_length_c 4.947
_cell_angle_alpha 90.00
_cell_angle_beta 90.00
_cell_angle_gamma 90.00
loop_
_atom_site_label
_atom_site_type_symbol
_atom_site_fract_x
_atom_site_fract_y
_atom_site_fract_z
Hf1 Hf 0.000 0.000 0.500
Sc1 Sc 0.500 0.500 0.500
Br1 Br 0.000 0.000 0.000
```